# 1
First-principles (PBE) data for an optimized crystal structure of TbSbAsO, as listed in the Open Quantum Materials Database.

Properties
- Size of the total moment: 0.01 μB per formula unit
- SG: No. 26
- Energy above the most stable polymorph in this dataset: 157 meV per atom
- Crystal system: orthorhombic

Cell: 3.9919 8.2698 5.9475 Å, 90.00 90.00 90.00°
Closest atoms and distances in Å follow each position.
Element x y z (fractional)
Tb 0.0000 0.1759 0.0000  2 O 2.15
Tb 0.0000 0.8241 0.5000  2 O 2.15
Sb 0.5000 0.3931 0.5983  1 O 2.22
Sb 0.5000 0.6069 0.0983  1 O 2.22
As 0.0000 0.1769 0.4915  2 Sb 2.75, 3 Tb 2.92-3.02
As 0.0000 0.8231 0.9915  2 Sb 2.75, 3 Tb 2.92-3.02
O 0.5000 0.2541 0.9180  2 Tb 2.15, 1 Sb 2.22
O 0.5000 0.7459 0.4180  2 Tb 2.15, 1 Sb 2.22



# 2
First-principles (PBE) data for an optimized crystal structure of TbSbAsO, as listed in the Open Quantum Materials Database.

Properties
- Size of the total moment: 0.00 μB per formula unit
- SG: No. 129
- Energy above the most stable polymorph in this dataset: 730 meV per atom
- Crystal system: tetragonal

Cell: 4.6854 4.6854 7.6384 Å, 90.00 90.00 90.00°
Closest atoms and distances in Å follow each position.
Element x y z (fractional)
Tb 0.2500 0.7500 0.0000  4 As 2.82
Tb 0.7500 0.2500 0.0000  4 As 2.82
Sb 0.2500 0.2500 0.4298  4 O 2.40
Sb 0.7500 0.7500 0.5702  4 O 2.40
As 0.2500 0.2500 0.7948  1 Sb 2.79, 4 Tb 2.82
As 0.7500 0.7500 0.2052  1 Sb 2.79, 4 Tb 2.82
O 0.2500 0.7500 0.5000  4 Sb 2.40
O 0.7500 0.2500 0.5000  4 Sb 2.40



# 3
First-principles (PBE) data for an optimized crystal structure of TbSbAsO, as listed in the Open Quantum Materials Database.

Properties
- Size of the total moment: 0.00 μB per formula unit
- SG: No. 26
- Energy above the most stable polymorph in this dataset: 240 meV per atom
- Crystal system: orthorhombic

Cell: 4.7667 6.2567 6.4509 Å, 90.00 90.00 90.00°
Closest atoms and distances in Å follow each position.
Element x y z (fractional)
Tb 0.0000 0.1556 0.0000  2 O 2.17-2.19
Tb 0.0000 0.8444 0.5000  2 O 2.17-2.19
Sb 0.5000 0.2469 0.3634  2 O 2.46
Sb 0.5000 0.7531 0.8634  2 O 2.46
As 0.5000 0.3136 0.8045  2 Sb 2.78-2.88, 2 Tb 2.87
As 0.5000 0.6864 0.3045  2 Sb 2.78-2.88, 2 Tb 2.87
O 0.0000 0.1499 0.3400  2 Tb 2.17-2.19
O 0.0000 0.8501 0.8400  2 Tb 2.17-2.19



# 4
First-principles (PBE) data for an optimized crystal structure of TbSbAsO, as listed in the Open Quantum Materials Database.

Properties
- Size of the total moment: 0.01 μB per formula unit
- SG: No. 129
- Energy above the most stable polymorph in this dataset: 0 meV per atom
- Crystal system: tetragonal

Cell: 4.0612 4.0612 10.4078 Å, 90.00 90.00 90.00°
Closest atoms and distances in Å follow each position.
Element x y z (fractional)
Tb 0.2500 0.2500 0.1004  4 O 2.28
Tb 0.7500 0.7500 0.8996  4 O 2.28
Sb 0.2500 0.7500 0.5000  4 Sb 2.87, 4 As 3.15
Sb 0.7500 0.2500 0.5000  4 Sb 2.87, 4 As 3.15
As 0.2500 0.2500 0.7311  4 Sb 3.15, 4 Tb 3.36, 4 O 3.46
As 0.7500 0.7500 0.2689  4 Sb 3.15, 4 Tb 3.36, 4 O 3.46
O 0.2500 0.7500 0.0000  4 Tb 2.28
O 0.7500 0.2500 0.0000  4 Tb 2.28



# 5
First-principles (PBE) data for an optimized crystal structure of TmSbAsO, as listed in the Open Quantum Materials Database.

Properties
- Size of the total moment: 0.01 μB per formula unit
- SG: No. 129
- Energy above the most stable polymorph in this dataset: 0 meV per atom
- Crystal system: tetragonal

Cell: 4.0068 4.0068 10.4487 Å, 90.00 90.00 90.00°
Closest atoms and distances in Å follow each position.
Element x y z (fractional)
Tm 0.2500 0.2500 0.0956  4 O 2.24
Tm 0.7500 0.7500 0.9044  4 O 2.24
Sb 0.2500 0.7500 0.5000  4 Sb 2.83, 4 As 3.16
Sb 0.7500 0.2500 0.5000  4 Sb 2.83, 4 As 3.16
As 0.2500 0.2500 0.7337  4 Sb 3.16, 4 Tm 3.35, 4 O 3.43
As 0.7500 0.7500 0.2663  4 Sb 3.16, 4 Tm 3.35, 4 O 3.43
O 0.2500 0.7500 0.0000  4 Tm 2.24
O 0.7500 0.2500 0.0000  4 Tm 2.24



# 6
First-principles (PBE) data for an optimized crystal structure of TmSbAsO, as listed in the Open Quantum Materials Database.

Properties
- Size of the total moment: 0.00 μB per formula unit
- SG: No. 26
- Energy above the most stable polymorph in this dataset: 212 meV per atom
- Crystal system: orthorhombic

Cell: 5.0315 6.0724 6.1880 Å, 90.00 90.00 90.00°
Closest atoms and distances in Å follow each position.
Element x y z (fractional)
Tm 0.0000 0.1722 0.0000  2 O 2.09-2.10
Tm 0.0000 0.8278 0.5000  2 O 2.09-2.10
Sb 0.5000 0.2428 0.3600  2 O 2.61, 2 As 2.73-2.89
Sb 0.5000 0.7572 0.8600  2 O 2.61, 2 As 2.73-2.89
As 0.5000 0.3097 0.8223  2 Sb 2.73-2.89, 2 Tm 2.87
As 0.5000 0.6903 0.3223  2 Sb 2.73-2.89, 2 Tm 2.87
O 0.0000 0.1291 0.3368  2 Tm 2.09-2.10
O 0.0000 0.8709 0.8368  2 Tm 2.09-2.10



# 7
First-principles (PBE) data for an optimized crystal structure of TmSbAsO, as listed in the Open Quantum Materials Database.

Properties
- Size of the total moment: 0.02 μB per formula unit
- SG: No. 129
- Energy above the most stable polymorph in this dataset: 702 meV per atom
- Crystal system: tetragonal

Cell: 4.7695 4.7695 7.2781 Å, 90.00 90.00 90.00°
Closest atoms and distances in Å follow each position.
Element x y z (fractional)
Tm 0.2500 0.7500 0.0000  4 As 2.75
Tm 0.7500 0.2500 0.0000  4 As 2.75
Sb 0.2500 0.2500 0.4320  4 O 2.44
Sb 0.7500 0.7500 0.5680  4 O 2.44
As 0.2500 0.2500 0.8108  4 Tm 2.75, 1 Sb 2.76
As 0.7500 0.7500 0.1892  4 Tm 2.75, 1 Sb 2.76
O 0.2500 0.7500 0.5000  4 Sb 2.44
O 0.7500 0.2500 0.5000  4 Sb 2.44



# 8
First-principles (PBE) data for an optimized crystal structure of TmSbAsO, as listed in the Open Quantum Materials Database.

Properties
- Size of the total moment: 0.00 μB per formula unit
- SG: No. 26
- Energy above the most stable polymorph in this dataset: 207 meV per atom
- Crystal system: orthorhombic

Cell: 3.7872 5.8516 8.2066 Å, 90.00 90.00 90.00°
Closest atoms and distances in Å follow each position.
Element x y z (fractional)
Tm 0.0000 0.2259 0.0000  2 O 2.07
Tm 0.0000 0.7741 0.5000  2 O 2.07
Sb 0.5000 0.2776 0.5826  1 O 2.60, 2 As 2.67
Sb 0.5000 0.7224 0.0826  1 O 2.60, 2 As 2.67
As 0.0000 0.2725 0.3540  2 Sb 2.67, 1 Tm 2.92
As 0.0000 0.7275 0.8540  2 Sb 2.67, 1 Tm 2.92
O 0.5000 0.2293 0.8976  2 Tm 2.07
O 0.5000 0.7707 0.3976  2 Tm 2.07



# 9
First-principles (PBE) data for an optimized crystal structure of ZrSbAsO, as listed in the Open Quantum Materials Database.

Properties
- Size of the total moment: 0.00 μB per formula unit
- SG: No. 26
- Energy above the most stable polymorph in this dataset: 63 meV per atom
- Crystal system: orthorhombic

Cell: 3.5111 8.6106 6.4738 Å, 90.00 90.00 90.00°
Closest atoms and distances in Å follow each position.
Element x y z (fractional)
Zr 0.0000 0.2340 0.0000  2 O 2.00
Zr 0.0000 0.7660 0.5000  2 O 2.00
Sb 0.5000 0.2474 0.5738  2 As 2.69
Sb 0.5000 0.7526 0.0738  2 As 2.69
As 0.0000 0.0683 0.3667  2 Sb 2.69, 2 Zr 2.74-2.77
As 0.0000 0.9317 0.8667  2 Sb 2.69, 2 Zr 2.74-2.77
O 0.5000 0.3330 0.0646  2 Zr 2.00
O 0.5000 0.6670 0.5646  2 Zr 2.00



# 10
First-principles (PBE) data for an optimized crystal structure of ZrSbAsO, as listed in the Open Quantum Materials Database.

Properties
- Size of the total moment: 0.00 μB per formula unit
- SG: No. 129
- Energy above the most stable polymorph in this dataset: 80 meV per atom
- Crystal system: tetragonal

Cell: 3.8868 3.8868 10.2045 Å, 90.00 90.00 90.00°
Closest atoms and distances in Å follow each position.
Element x y z (fractional)
Zr 0.2500 0.2500 0.1091  4 O 2.24
Zr 0.7500 0.7500 0.8909  4 O 2.24
Sb 0.2500 0.7500 0.5000  4 Sb 2.75
Sb 0.7500 0.2500 0.5000  4 Sb 2.75
As 0.2500 0.2500 0.7551  4 Zr 3.08, 4 O 3.17, 4 Sb 3.25
As 0.7500 0.7500 0.2449  4 Zr 3.08, 4 O 3.17, 4 Sb 3.25
O 0.2500 0.7500 0.0000  4 Zr 2.24
O 0.7500 0.2500 0.0000  4 Zr 2.24



# 11
First-principles (PBE) data for an optimized crystal structure of ZrSbAsO, as listed in the Open Quantum Materials Database.

Properties
- Size of the total moment: 0.01 μB per formula unit
- SG: No. 129
- Energy above the most stable polymorph in this dataset: 507 meV per atom
- Crystal system: tetragonal

Cell: 4.6303 4.6303 7.2612 Å, 90.00 90.00 90.00°
Closest atoms and distances in Å follow each position.
Element x y z (fractional)
Zr 0.2500 0.7500 0.0000  4 As 2.67
Zr 0.7500 0.2500 0.0000  4 As 2.67
Sb 0.2500 0.2500 0.4233  4 O 2.38
Sb 0.7500 0.7500 0.5767  4 O 2.38
As 0.2500 0.2500 0.8167  4 Zr 2.67, 1 Sb 2.86
As 0.7500 0.7500 0.1833  4 Zr 2.67, 1 Sb 2.86
O 0.2500 0.7500 0.5000  4 Sb 2.38
O 0.7500 0.2500 0.5000  4 Sb 2.38



# 12
First-principles (PBE) data for an optimized crystal structure of ZrSbAsO, as listed in the Open Quantum Materials Database.

Properties
- Size of the total moment: 0.00 μB per formula unit
- SG: No. 26
- Energy above the most stable polymorph in this dataset: 0 meV per atom
- Crystal system: orthorhombic

Cell: 3.7920 6.5606 7.5951 Å, 90.00 90.00 90.00°
Closest atoms and distances in Å follow each position.
Element x y z (fractional)
Zr 0.0000 0.0544 0.0000  2 O 1.99-2.03
Zr 0.0000 0.9456 0.5000  2 O 1.99-2.03
Sb 0.5000 0.2964 0.5746  2 As 2.63-2.66
Sb 0.5000 0.7036 0.0746  2 As 2.63-2.66
As 0.5000 0.3430 0.9224  2 Sb 2.63-2.66, 2 Zr 2.74
As 0.5000 0.6570 0.4224  2 Sb 2.63-2.66, 2 Zr 2.74
O 0.0000 0.0851 0.2608  2 Zr 1.99-2.03
O 0.0000 0.9149 0.7608  2 Zr 1.99-2.03



What did the eighth record say?
First-principles (PBE) data for an optimized crystal structure of TmSbAsO, as listed in the Open Quantum Materials Database.

Properties
- Size of the total moment: 0.00 μB per formula unit
- SG: No. 26
- Energy above the most stable polymorph in this dataset: 207 meV per atom
- Crystal system: orthorhombic

Cell: 3.7872 5.8516 8.2066 Å, 90.00 90.00 90.00°
Closest atoms and distances in Å follow each position.
Element x y z (fractional)
Tm 0.0000 0.2259 0.0000  2 O 2.07
Tm 0.0000 0.7741 0.5000  2 O 2.07
Sb 0.5000 0.2776 0.5826  1 O 2.60, 2 As 2.67
Sb 0.5000 0.7224 0.0826  1 O 2.60, 2 As 2.67
As 0.0000 0.2725 0.3540  2 Sb 2.67, 1 Tm 2.92
As 0.0000 0.7275 0.8540  2 Sb 2.67, 1 Tm 2.92
O 0.5000 0.2293 0.8976  2 Tm 2.07
O 0.5000 0.7707 0.3976  2 Tm 2.07



- Which of these has the highest size of the total moment?
  number 7



- Which of these has the highest size of the total moment?
  number 7